Below is a geometry-optimized Na16Ga12Au structure, with properties calculated at the PBE level.

Results
Space-group type: Cm
Total energy in eV per cell: -63.4
ΔE_f in kJ per mole of atoms: -9

Lattice parameters (Å, degrees): 9.5499 9.5499 9.4069 108.54 108.54 109.38
With the nearest neighbours (Å) after each atom.
Positions (direct):
Na1 0.0000 0.0000 0.0000  12 Ga 3.20-3.32, 3 Na 3.42-3.44
Na2 0.0012 0.4134 0.6821  6 Na 3.13-3.41, 5 Ga 3.14-3.23
Na3 0.0014 0.6422 0.0058  4 Na 3.13-3.44, 6 Ga 3.25-3.32
Na4 0.0073 0.0073 0.6407  1 Au 2.95, 3 Na 3.04-3.17, 4 Ga 3.15-3.29
Na5 0.0169 0.6883 0.4117  1 Au 3.00, 3 Na 3.17-3.25, 5 Ga 3.17-3.29
Na6 0.2926 0.5925 0.5970  5 Ga 3.15-3.45, 7 Na 3.22-3.51
Na7 0.3098 0.3098 0.7074  7 Na 3.04-3.37, 5 Ga 3.17-3.32
Na8 0.3307 0.7090 0.3046  7 Na 3.07-3.42, 4 Ga 3.16-3.34, 1 Au 3.39
Na9 0.3828 0.3828 0.3305  4 Ga 3.12-3.38, 4 Na 3.22-3.38, 1 Au 3.26
Na10 0.4134 0.0012 0.6821  6 Na 3.13-3.41, 5 Ga 3.14-3.23
Na11 0.4318 0.6707 0.0213  4 Na 3.07-3.41, 4 Ga 3.14-3.42, 1 Au 3.31
Na12 0.5925 0.2926 0.5970  5 Ga 3.15-3.45, 7 Na 3.22-3.51
Na13 0.6422 0.0014 0.0058  4 Na 3.13-3.44, 6 Ga 3.25-3.32
Na14 0.6707 0.4318 0.0213  4 Na 3.07-3.41, 4 Ga 3.14-3.42, 1 Au 3.31
Na15 0.6883 0.0169 0.4117  1 Au 3.00, 3 Na 3.17-3.25, 5 Ga 3.17-3.29
Na16 0.7090 0.3307 0.3046  7 Na 3.07-3.42, 4 Ga 3.16-3.34, 1 Au 3.39
Ga1 0.0032 0.1819 0.3524  3 Ga 2.72-2.79
Ga2 0.1617 0.3417 0.9794  3 Ga 2.74-2.81
Ga3 0.1819 0.0032 0.3524  3 Ga 2.72-2.79
Ga4 0.1849 0.8166 0.8237  3 Ga 2.74-2.81
Ga5 0.3417 0.1617 0.9794  3 Ga 2.74-2.81
Ga6 0.3542 0.9976 0.1716  3 Ga 2.72-2.74
Ga7 0.6493 0.8310 0.6453  3 Ga 2.73-2.83, 1 Au 2.75
Ga8 0.6526 0.6526 0.8221  3 Ga 2.73-2.95
Ga9 0.8166 0.1849 0.8237  3 Ga 2.74-2.81
Ga10 0.8310 0.6493 0.6453  3 Ga 2.73-2.83, 1 Au 2.75
Ga11 0.8312 0.8312 0.1971  1 Au 2.75, 3 Ga 2.79-2.95
Ga12 0.9976 0.3542 0.1716  3 Ga 2.72-2.74
Au1 0.6949 0.6949 0.3689  3 Ga 2.75, 3 Na 2.95-3.00


Below is a geometry-optimized Ca3AlIn3 structure, with properties calculated at the PBE level.

Results
Space-group type: C2/m
Total energy in eV per cell: -41.3
ΔE_f in kJ per mole of atoms: -37

Lattice parameters (Å, degrees): 6.2681 6.2681 15.8556 107.80 107.80 43.16
With the nearest neighbours (Å) after each atom.
Positions (direct):
Ca1 0.0276 0.0276 0.3836  7 In 3.30-3.67, 3 Al 3.32-3.44
Ca2 0.1047 0.1047 0.9209  7 In 3.25-3.46
Ca3 0.2421 0.2421 0.2315  6 In 3.32-3.44, 2 Al 3.42
Ca4 0.7579 0.7579 0.7685  6 In 3.32-3.44, 2 Al 3.42
Ca5 0.8953 0.8953 0.0791  7 In 3.25-3.46
Ca6 0.9724 0.9724 0.6164  7 In 3.30-3.67, 3 Al 3.32-3.44
Al1 0.2654 0.2654 0.6114  4 In 2.77-2.95
Al2 0.7346 0.7346 0.3886  4 In 2.77-2.95
In1 0.3611 0.3611 0.4607  3 Al 2.77-2.95, 1 In 3.06
In2 0.3849 0.3849 0.9232  2 In 2.97-2.99, 1 Ca 3.25
In3 0.4719 0.4719 0.7654  1 Al 2.81, 1 In 2.99
In4 0.5281 0.5281 0.2346  1 Al 2.81, 1 In 2.99
In5 0.6151 0.6151 0.0768  2 In 2.97-2.99, 1 Ca 3.25
In6 0.6389 0.6389 0.5393  3 Al 2.77-2.95, 1 In 3.06


Q: Among the records above, which one has the lowest ΔE_f?
A: Ca3AlIn3


Q: Look up the ΔE_f of the second one.
A: -37 kJ per mole of atoms